! NaInPd3 GGA-PBE optimized geometry; values from VASP
! Calculated formation energy   -6.8 kcal/mol of atoms
! Calculated density   8.41 g/cm³
! Crystal system   triclinic
! Space group   No. 1
&SYSTEM
  ibrav = 0, nat = 10, ntyp = 3
/
ATOMIC_SPECIES
Na 22.99 Na.upf
In 114.82 In.upf
Pd 106.42 Pd.upf
ATOMIC_POSITIONS angstrom
Na 4.834 3.050 1.585
Na 8.265 4.763 5.409
In 4.096 2.164 4.430
In 7.989 4.652 0.282
Pd 6.206 0.848 2.953
Pd 6.909 2.261 5.258
Pd 5.492 4.556 4.434
Pd 1.814 1.802 0.337
Pd 7.582 3.297 2.763
Pd 3.356 0.707 2.331
CELL_PARAMETERS angstrom
5.524 -0.001 0.028
2.759 4.888 -0.392
2.936 1.129 6.607

---

! Cs2TaTlS4 GGA-PBE optimized geometry; values from VASP
! Formation energy (no corrections)   -784 kJ/mol of formula units
! Calculated density   3.96 g/cm³
! Crystal system   orthorhombic
! Space group   No. 70
&SYSTEM
  ibrav = 0, nat = 16, ntyp = 4
/
ATOMIC_SPECIES
Cs 132.91 Cs.upf
Ta 180.95 Ta.upf
Tl 204.38 Tl.upf
S 32.06 S.upf
ATOMIC_POSITIONS angstrom
Cs 3.686 0.000 8.064
Cs 7.372 0.000 4.667
Cs 9.215 3.478 11.033
Cs 9.215 3.478 1.698
Ta 5.529 3.478 6.366
Ta 3.686 0.000 0.000
Tl 9.215 3.478 6.366
Tl 0.000 0.000 0.000
S 6.018 5.628 1.285
S 6.018 1.329 11.447
S 12.411 5.628 11.447
S 5.039 1.329 1.285
S 6.882 4.807 5.081
S 6.882 2.150 7.651
S 11.547 4.807 7.651
S 4.175 2.150 5.081
CELL_PARAMETERS angstrom
7.372 0.000 0.000
3.686 6.957 0.000
3.686 0.000 12.732

---

! GaNF GGA-PBE optimized geometry; values from VASP
! Formation energy (no corrections)   -245 kJ/mol of formula units
! Calculated density   5.61 g/cm³
! Crystal system   monoclinic
! Space group   No. 8
&SYSTEM
  ibrav = 0, nat = 12, ntyp = 3
/
ATOMIC_SPECIES
Ga 69.72 Ga.upf
N 14.01 N.upf
F 19.00 F.upf
ATOMIC_POSITIONS angstrom
Ga 3.425 -2.659 -3.695
Ga 0.516 -2.570 -2.141
Ga 1.399 -5.190 -0.588
Ga 4.101 -5.272 -2.032
N 4.784 -1.270 -2.835
N 0.542 -1.141 -0.568
N 2.758 -3.801 0.271
N 4.126 -3.843 -0.459
F 0.425 -4.810 1.068
F 2.451 -2.279 -2.038
F -0.502 -3.517 -0.739
F 1.524 -0.986 -3.846
CELL_PARAMETERS angstrom
-1.497 -0.749 -2.760
5.611 -0.171 -2.998
1.559 -5.233 3.216

---

! PuSnHg4 GGA-PBE optimized geometry; values from VASP
! Calculated formation energy   1.1 kcal/mol of atoms
! Calculated density   12.34 g/cm³
! Crystal system   cubic
! Space group   No. 216
&SYSTEM
  ibrav = 0, nat = 6, ntyp = 3
/
ATOMIC_SPECIES
Hg 200.59 Hg.upf
Sn 118.71 Sn.upf
Pu 244.00 Pu.upf
ATOMIC_POSITIONS angstrom
Hg 6.053 3.495 0.619
Hg 6.053 1.748 3.089
Hg 7.565 4.368 3.089
Hg 4.540 4.368 3.089
Sn 0.000 0.000 0.000
Pu 3.026 1.747 1.236
CELL_PARAMETERS angstrom
6.053 0.000 0.000
3.026 5.242 0.000
3.026 1.747 4.942

---

! PrThFeN3 GGA-PBE optimized geometry; values from VASP
! Formation energy (no corrections)   -584 kJ/mol of formula units
! Calculated density   7.97 g/cm³
! Crystal system   monoclinic
! Space group   No. 11
&SYSTEM
  ibrav = 0, nat = 12, ntyp = 4
/
ATOMIC_SPECIES
Pr 140.91 Pr.upf
Th 232.04 Th.upf
Fe 55.84 Fe.upf
N 14.01 N.upf
ATOMIC_POSITIONS angstrom
Pr 5.399 -0.749 6.943
Pr 0.955 0.184 1.580
Th 1.729 -2.642 3.685
Th 4.625 2.076 4.837
Fe 3.530 2.179 1.863
Fe 2.823 -2.745 6.659
N 3.814 -2.862 4.997
N 1.088 -3.316 6.013
N 0.307 -0.635 3.989
N 2.539 2.296 3.526
N 6.046 0.069 4.533
N 5.266 2.750 2.510
CELL_PARAMETERS angstrom
-1.558 1.621 2.748
1.480 -5.815 4.268
6.431 3.628 1.506

---

! Dy5MgBi4 GGA-PBE optimized geometry; values from VASP
! Calculated formation energy   -13.1 kcal/mol of atoms
! Calculated density   8.77 g/cm³
! Crystal system   tetragonal
! Space group   No. 79
&SYSTEM
  ibrav = 0, nat = 10, ntyp = 3
/
ATOMIC_SPECIES
Dy 162.50 Dy.upf
Mg 24.30 Mg.upf
Bi 208.98 Bi.upf
ATOMIC_POSITIONS angstrom
Dy -2.493 -10.621 3.217
Dy 1.400 -9.068 1.944
Dy -2.101 -6.623 1.468
Dy 1.793 -5.070 0.196
Dy -1.795 -2.691 -0.612
Mg -0.077 -0.116 -0.026
Bi -0.870 -8.003 3.920
Bi -0.234 -11.730 1.458
Bi -0.468 -3.962 1.954
Bi 0.168 -7.689 -0.508
CELL_PARAMETERS angstrom
-3.443 -5.160 -1.174
4.210 -6.283 -1.704
-1.497 -4.292 6.280

---

! ZrSc2Al GGA-PBE optimized geometry; values from VASP
! Calculated formation energy   -2.3 kcal/mol of atoms
! Calculated density   3.98 g/cm³
! Crystal system   orthorhombic
! Space group   No. 65
&SYSTEM
  ibrav = 0, nat = 4, ntyp = 3
/
ATOMIC_SPECIES
Sc 44.96 Sc.upf
Al 26.98 Al.upf
Zr 91.22 Zr.upf
ATOMIC_POSITIONS angstrom
Sc 0.000 0.000 0.000
Sc -0.766 -2.002 2.186
Al 1.944 -0.377 2.481
Zr -2.556 0.589 1.788
CELL_PARAMETERS angstrom
-5.266 -1.037 1.494
3.734 -2.968 2.879
0.155 2.214 2.082

---

! TaTiNbTc GGA-PBE optimized geometry; values from VASP
! Calculated formation energy   -6.2 kcal/mol of atoms
! Calculated density   10.42 g/cm³
! Crystal system   orthorhombic
! Space group   No. 44
&SYSTEM
  ibrav = 0, nat = 4, ntyp = 4
/
ATOMIC_SPECIES
Ta 180.95 Ta.upf
Ti 47.87 Ti.upf
Nb 92.91 Nb.upf
Tc 98.00 Tc.upf
ATOMIC_POSITIONS angstrom
Ta 1.591 0.000 4.264
Ti 0.000 0.000 1.803
Nb 1.591 2.272 2.035
Tc 0.000 2.272 4.225
CELL_PARAMETERS angstrom
3.182 0.000 0.000
0.000 4.543 0.000
-1.591 -2.272 4.627